Here is a geometry-optimized MnCo2TcO6 structure from Alexandria. Energies are from PBE+U.

Computed properties:
Total energy: -6.97 eV/atom

The structure in POSCAR format:
```
MnCo2TcO6
1.0
5.138 0.000 0.001
2.569 4.451 0.001
2.569 1.485 4.627
Mn Co Tc O
1 2 1 6
Direct
0.813 0.813 0.562
0.511 0.511 0.466
0.024 0.023 0.929
0.314 0.314 0.059
0.590 0.245 0.250
0.245 0.915 0.250
0.915 0.590 0.250
0.412 0.705 0.750
0.705 0.133 0.750
0.133 0.412 0.750
```